DFT (PBE) results for a relaxed structure of KTaS4.

Geometry as POSCAR:
```
KTaS4
1.0
4.125 0.000 0.000
0.000 4.125 0.000
0.000 0.000 8.109
K Ta S
1 1 4
direct
0.000 0.000 0.000
0.500 0.500 0.500
0.000 0.500 0.309
0.000 0.500 0.691
0.500 0.000 0.309
0.500 0.000 0.691
```

Output
ΔE to the lowest computed polymorph   422 meV per atom
M_tot   0.000 μB/atom
Space-group type   No. 123
Crystal system   tetragonal

DFT (PBE) results for a relaxed structure of KTa3S.

Geometry as POSCAR:
```
KTa3S
1.0
4.738 0.000 0.000
0.000 4.738 0.000
0.000 0.000 4.738
K Ta S
1 3 1
direct
0.000 0.000 0.000
0.000 0.500 0.500
0.500 0.000 0.500
0.500 0.500 0.000
0.500 0.500 0.500
```

Output
ΔE to the lowest computed polymorph   0 meV per atom
M_tot   0.000 μB/atom
Space-group type   No. 221
Crystal system   cubic